# PBE+U Ni2BiF, relaxed
data_Ni2BiF
_cell_length_a 6.438
_cell_length_b 6.438
_cell_length_c 5.645
_cell_angle_alpha 55.24
_cell_angle_beta 55.24
_cell_angle_gamma 90.00
_symmetry_space_group_name_H-M 'P 1'
_symmetry_Int_Tables_number 1
loop_
_symmetry_equiv_pos_as_xyz
'x,y,z'
loop_
_atom_site_label
_atom_site_fract_x
_atom_site_fract_y
_atom_site_fract_z
F1 0.500 0.500 0.000
F2 0.250 0.750 0.500
Bi1 0.750 0.250 0.500
Bi2 0.000 0.000 0.000
Ni1 0.549 0.125 0.250
Ni2 0.375 0.451 0.750
Ni3 0.201 0.625 0.250
Ni4 0.875 0.799 0.750
# - Offset from the most stable computed form: 0.0 meV/atom
# - Calculated volume: 17.3 Å³/atom
# - Density: 8290 kg/m3